[1]
First-principles (PBE-GGA) data for an optimized crystal structure of TaBe, as listed in Alexandria via LeMat-Bulk.

Geometry as POSCAR:
```
TaBe
1.0
-10.796 6.023 -4.332
-1.501 -2.297 0.548
-0.805 1.503 4.095
Ta Be
6 6
direct
0.173 0.052 0.292 Ta
0.673 0.948 0.792 Ta
0.327 0.948 0.792 Ta
0.500 0.031 0.159 Ta
0.827 0.052 0.292 Ta
0.000 0.969 0.659 Ta
0.500 0.504 0.647 Be
0.155 0.514 0.806 Be
0.655 0.486 0.306 Be
0.000 0.496 0.147 Be
0.845 0.514 0.806 Be
0.345 0.486 0.306 Be
```

Output
Energy of formation from the pure elements   0.05 eV per atom
DOS(E_F)   6.15 states/eV per cell
Magnetization   0.000 μB/f.u.
Relative energy among the computed polymorphs   0.239 eV per atom

[2]
First-principles (PBE-GGA) data for an optimized crystal structure of TaBe, as listed in Alexandria via LeMat-Bulk.

Geometry as POSCAR:
```
TaBe
1.0
8.298 0.000 0.000
0.000 8.298 0.000
0.000 0.000 3.382
Ta Be
8 8
direct
0.237 0.651 0.500 Ta
0.651 0.763 0.500 Ta
0.390 0.881 0.000 Ta
0.349 0.237 0.500 Ta
0.610 0.119 0.000 Ta
0.763 0.349 0.500 Ta
0.119 0.390 0.000 Ta
0.881 0.610 0.000 Ta
0.184 0.956 0.500 Be
0.956 0.816 0.500 Be
0.044 0.184 0.500 Be
0.831 0.905 0.000 Be
0.095 0.831 0.000 Be
0.169 0.095 0.000 Be
0.816 0.044 0.500 Be
0.905 0.169 0.000 Be
```

Output
Energy of formation from the pure elements   0.24 eV per atom
DOS(E_F)   9.89 states/eV per cell
Magnetization   0.000 μB/f.u.
Relative energy among the computed polymorphs   0.426 eV per atom

Question: Which value of magnetization does entry 2 give?
Answer: 0.000 μB/f.u.

Repeat the first record exactly.
First-principles (PBE-GGA) data for an optimized crystal structure of TaBe, as listed in Alexandria via LeMat-Bulk.

Geometry as POSCAR:
```
TaBe
1.0
-10.796 6.023 -4.332
-1.501 -2.297 0.548
-0.805 1.503 4.095
Ta Be
6 6
direct
0.173 0.052 0.292 Ta
0.673 0.948 0.792 Ta
0.327 0.948 0.792 Ta
0.500 0.031 0.159 Ta
0.827 0.052 0.292 Ta
0.000 0.969 0.659 Ta
0.500 0.504 0.647 Be
0.155 0.514 0.806 Be
0.655 0.486 0.306 Be
0.000 0.496 0.147 Be
0.845 0.514 0.806 Be
0.345 0.486 0.306 Be
```

Output
Energy of formation from the pure elements   0.05 eV per atom
DOS(E_F)   6.15 states/eV per cell
Magnetization   0.000 μB/f.u.
Relative energy among the computed polymorphs   0.239 eV per atom

Question: What is the relative energy among the computed polymorphs in the second record?
Answer: 0.426 eV per atom

Question: relative energy among the computed polymorphs of number 1 (TaBe)?
Answer: 0.239 eV per atom